(1)
Here is a relaxed VGeI2N crystal from Alexandria via LeMat-Bulk. Energies are from PBE-GGA.

Cell: 5.620 5.620 3.702 Å, 90.00 90.00 90.00°
Last column: magnetic moment on the atom in μB.
Sites, in units of the cell vectors:
1 V 0.000 0.000 0.000  1.34
2 I 0.500 0.000 0.000  -0.03
3 I 0.000 0.500 0.000  -0.03
4 Ge 0.500 0.500 0.500  0.02
5 N 0.000 0.000 0.500  -0.23

Output
Crystal system: tetragonal
Total magnetization in μB/f.u.: 1.2
Offset from the most stable computed form in meV/atom: 0

***

(2)
Here is a relaxed VGeIN2 crystal from Alexandria via LeMat-Bulk. Energies are from PBE-GGA.

Cell: 3.786 3.786 6.456 Å, 90.00 90.00 90.00°
Last column: magnetic moment on the atom in μB.
Sites, in units of the cell vectors:
1 N 0.500 0.000 0.000  -0.08
2 N 0.000 0.500 0.000  -0.08
3 V 0.500 0.500 0.500  0.35
4 I 0.000 0.000 0.500  0.02
5 Ge 0.000 0.000 0.000  0.01

Output
Crystal system: tetragonal
Total magnetization in μB/f.u.: 0.2
Offset from the most stable computed form in meV/atom: 827

***

(3)
Here is a relaxed VGeI2N crystal from Alexandria via LeMat-Bulk. Energies are from PBE-GGA.

Cell: 5.819 5.819 3.545 Å, 90.00 90.00 90.00°
Last column: magnetic moment on the atom in μB.
Sites, in units of the cell vectors:
1 N 0.000 0.000 0.500  0.00
2 Ge 0.000 0.000 0.000  0.00
3 I 0.500 0.000 0.000  0.02
4 I 0.000 0.500 0.000  0.02
5 V 0.500 0.500 0.500  -0.34

Output
Crystal system: tetragonal
Total magnetization in μB/f.u.: 0.4
Offset from the most stable computed form in meV/atom: 844

***

(4)
Here is a relaxed YGeIN2 crystal from Alexandria via LeMat-Bulk. Energies are from PBE-GGA.

Cell: 4.427 4.427 6.112 Å, 90.00 90.00 90.00°
Last column: magnetic moment on the atom in μB.
Sites, in units of the cell vectors:
1 Ge 0.500 0.500 0.500  -0.04
2 N 0.500 0.000 0.000  0.08
3 Y 0.000 0.000 0.000  -0.02
4 I 0.000 0.000 0.500  0.00
5 N 0.000 0.500 0.000  0.08

Output
Crystal system: tetragonal
Total magnetization in μB/f.u.: 0.1
Offset from the most stable computed form in meV/atom: 67

***

(5)
Here is a relaxed YGeI2N crystal from Alexandria via LeMat-Bulk. Energies are from PBE-GGA.

Cell: 6.066 6.066 3.652 Å, 90.00 90.00 90.00°
Sites, in units of the cell vectors:
1 I 0.000 0.500 0.000
2 I 0.500 0.000 0.000
3 Y 0.500 0.500 0.500
4 N 0.000 0.000 0.500
5 Ge 0.000 0.000 0.000

Output
Crystal system: tetragonal
Total magnetization in μB/f.u.: 0.0
Offset from the most stable computed form in meV/atom: 69

***

(6)
Here is a relaxed YGeIN2 crystal from Alexandria via LeMat-Bulk. Energies are from PBE-GGA.

Cell: 4.130 4.130 5.307 Å, 90.00 90.00 90.00°
Sites, in units of the cell vectors:
1 N 0.000 0.500 0.000
2 I 0.000 0.000 0.500
3 Y 0.500 0.500 0.500
4 Ge 0.000 0.000 0.000
5 N 0.500 0.000 0.000

Output
Crystal system: tetragonal
Total magnetization in μB/f.u.: 0.0
Offset from the most stable computed form in meV/atom: 0

***

(7)
Here is a relaxed YGeI2N crystal from Alexandria via LeMat-Bulk. Energies are from PBE-GGA.

Cell: 6.168 6.168 4.099 Å, 90.00 90.00 90.00°
Last column: magnetic moment on the atom in μB.
Sites, in units of the cell vectors:
1 Ge 0.500 0.500 0.500  0.20
2 N 0.000 0.000 0.500  -0.02
3 Y 0.000 0.000 0.000  0.00
4 I 0.000 0.500 0.000  0.00
5 I 0.500 0.000 0.000  0.00

Output
Crystal system: tetragonal
Total magnetization in μB/f.u.: 0.5
Offset from the most stable computed form in meV/atom: 0

***

(8)
Here is a relaxed ZnGeI2N crystal from Alexandria via LeMat-Bulk. Energies are from PBE-GGA.

Cell: 6.135 6.135 3.489 Å, 90.00 90.00 90.00°
Sites, in units of the cell vectors:
1 Zn 0.500 0.500 0.500
2 I 0.500 0.000 0.000
3 Ge 0.000 0.000 0.000
4 N 0.000 0.000 0.500
5 I 0.000 0.500 0.000

Output
Crystal system: tetragonal
Total magnetization in μB/f.u.: 0.0
Offset from the most stable computed form in meV/atom: 0

***

(9)
Here is a relaxed ZnGeI2N crystal from Alexandria via LeMat-Bulk. Energies are from PBE-GGA.

Cell: 5.826 5.826 3.781 Å, 90.00 90.00 90.00°
Last column: magnetic moment on the atom in μB.
Sites, in units of the cell vectors:
1 Ge 0.500 0.500 0.500  -0.05
2 Zn 0.000 0.000 0.000  0.03
3 I 0.500 0.000 0.000  0.07
4 N 0.000 0.000 0.500  0.95
5 I 0.000 0.500 0.000  0.07

Output
Crystal system: tetragonal
Total magnetization in μB/f.u.: 1.5
Offset from the most stable computed form in meV/atom: 76

***

(10)
Here is a relaxed ZrGeI2N crystal from Alexandria via LeMat-Bulk. Energies are from PBE-GGA.

Cell: 5.979 5.979 4.004 Å, 90.00 90.00 90.00°
Last column: magnetic moment on the atom in μB.
Sites, in units of the cell vectors:
1 N 0.000 0.000 0.500  0.00
2 Zr 0.000 0.000 0.000  0.03
3 I 0.500 0.000 0.000  0.01
4 Ge 0.500 0.500 0.500  0.33
5 I 0.000 0.500 0.000  0.01

Output
Crystal system: tetragonal
Total magnetization in μB/f.u.: 0.9
Offset from the most stable computed form in meV/atom: 0

***

(11)
Here is a relaxed ZrGeI2N crystal from Alexandria via LeMat-Bulk. Energies are from PBE-GGA.

Cell: 5.884 5.884 3.565 Å, 90.00 90.00 90.00°
Sites, in units of the cell vectors:
1 N 0.000 0.000 0.500
2 Zr 0.500 0.500 0.500
3 Ge 0.000 0.000 0.000
4 I 0.500 0.000 0.000
5 I 0.000 0.500 0.000

Output
Crystal system: tetragonal
Total magnetization in μB/f.u.: 0.0
Offset from the most stable computed form in meV/atom: 565

***

(12)
Here is a relaxed Na3GeI crystal from Alexandria via LeMat-Bulk. Energies are from PBE-GGA.

Cell: 5.848 5.848 5.848 Å, 90.00 90.00 90.00°
Last column: magnetic moment on the atom in μB.
Sites, in units of the cell vectors:
1 Ge 0.500 0.500 0.500  0.58
2 Na 0.000 0.500 0.000  0.00
3 Na 0.500 0.000 0.000  0.01
4 Na 0.000 0.000 0.500  -0.01
5 I 0.000 0.000 0.000  0.04

Output
Crystal system: cubic
Total magnetization in μB/f.u.: 2.0
Offset from the most stable computed form in meV/atom: 136

***

| no. | uncorrected formation energy (eV per atom) |
| --- | --- |
| 1 | 0.2175 |
| 2 | 1.5601 |
| 3 | 1.0617 |
| 4 | 0.8319 |
| 5 | 0.1641 |
| 6 | 0.7648 |
| 7 | 0.0952 |
| 8 | 0.6017 |
| 9 | 0.6775 |
| 10 | 0.0794 |
| 11 | 0.6442 |
| 12 | -0.0208 |